[1]
This record from Alexandria via LeMat-Bulk describes a PBEsol-optimized structure of Cs2TlCuBr6. The functional is meta-GGA SCAN.

Values from the calculation:
ΔE_f (raw), meV per atom: -1139
Volume, Å³/atom: 31.36
Total energy, Ry per atom: -2.1412
Spin magnetization, μB/atom: 0.0002
Crystal system: cubic

abc: 7.626 7.626 7.626
angles: 60.00 60.00 60.00
Atoms (fractional coordinates):
Cs (0.250, 0.250, 0.250)
Cs (0.750, 0.750, 0.750)
Tl (0.000, 0.000, 0.000)
Cu (0.500, 0.500, 0.500)
Br (0.264, 0.264, 0.736)
Br (0.264, 0.736, 0.264)
Br (0.264, 0.736, 0.736)
Br (0.736, 0.264, 0.264)
Br (0.736, 0.264, 0.736)
Br (0.736, 0.736, 0.264)

---

[2]
This record from Alexandria via LeMat-Bulk describes a PBEsol-optimized structure of Cs3BeRh. The functional is meta-GGA SCAN.

Values from the calculation:
E_form, eV/f.u.: 6.11
Volume, Å³/atom: 50.33
Total energy, Ry per atom: -2.1380
Spin magnetization, μB/atom: 0.3284
Crystal system: cubic

abc: 6.314 6.314 6.314
angles: 90.00 90.00 90.00
Atoms (fractional coordinates):
Cs (0.000, 0.000, 0.500)
Cs (0.000, 0.500, 0.000)
Cs (0.500, 0.000, 0.000)
Be (0.000, 0.000, 0.000)
Rh (0.500, 0.500, 0.500)

---

[3]
This record from Alexandria via LeMat-Bulk describes a PBEsol-optimized structure of SiNi2Ru. The functional is meta-GGA SCAN.

Values from the calculation:
ΔE_f (raw), meV per atom: -174
Volume, Å³/atom: 11.49
Total energy, Ry per atom: -1.4311
Spin magnetization, μB/atom: 0.0009
Crystal system: orthorhombic

abc: 4.375 4.375 2.587
angles: 90.00 90.00 111.80
Atoms (fractional coordinates):
Si (0.000, 0.000, 0.000)
Ni (0.000, 0.500, 0.500)
Ni (0.500, 0.000, 0.500)
Ru (0.500, 0.500, 0.000)

---

[4]
This record from Alexandria via LeMat-Bulk describes a PBEsol-optimized structure of In2NiAg. The functional is meta-GGA SCAN.

Values from the calculation:
E_form, eV/f.u.: 0.39
Volume, Å³/atom: 17.14
Total energy, Ry per atom: -2.0933
Spin magnetization, μB/atom: 0.0000
Crystal system: tetragonal

abc: 4.566 4.566 3.290
angles: 90.00 90.00 90.00
Atoms (fractional coordinates):
In (0.000, 0.500, 0.000)
In (0.500, 0.000, 0.000)
Ni (0.000, 0.000, 0.500)
Ag (0.500, 0.500, 0.500)

---

[5]
This record from Alexandria via LeMat-Bulk describes a PBEsol-optimized structure of SrCa4Mo. The functional is meta-GGA SCAN.

Values from the calculation:
E_form, eV/f.u.: 4.48
Volume, Å³/atom: 37.25
Total energy, Ry per atom: -1.1189
Spin magnetization, μB/atom: 0.8567
Crystal system: cubic

abc: 6.812 6.812 6.812
angles: 60.00 60.00 60.00
Atoms (fractional coordinates):
Sr (0.000, 0.000, 0.000)
Ca (0.376, 0.376, 0.376)
Ca (0.376, 0.376, 0.871)
Ca (0.376, 0.871, 0.376)
Ca (0.871, 0.376, 0.376)
Mo (0.750, 0.750, 0.750)

---

[6]
This record from Alexandria via LeMat-Bulk describes a PBEsol-optimized structure of Tc2TeMo. The functional is meta-GGA SCAN.

Values from the calculation:
ΔE_f (raw), meV per atom: 407
Volume, Å³/atom: 16.32
Total energy, Ry per atom: -2.5840
Spin magnetization, μB/atom: 0.0000
Crystal system: trigonal

abc: 8.518 8.518 8.518
angles: 20.33 20.33 20.33
Atoms (fractional coordinates):
Tc (0.246, 0.246, 0.246)
Tc (0.754, 0.754, 0.754)
Te (0.000, 0.000, 0.000)
Mo (0.500, 0.500, 0.500)

---

[7]
This record from Alexandria via LeMat-Bulk describes a PBEsol-optimized structure of HfZrSN2. The functional is meta-GGA SCAN.

Values from the calculation:
ΔE_f (raw), meV per atom: -162
Volume, Å³/atom: 15.97
Total energy, Ry per atom: -1.7991
Spin magnetization, μB/atom: 0.0639
Crystal system: tetragonal

abc: 4.050 4.050 4.869
angles: 90.00 90.00 90.00
Atoms (fractional coordinates):
Hf (0.000, 0.000, 0.000)
Zr (0.500, 0.500, 0.500)
S (0.500, 0.500, 0.000)
N (0.000, 0.500, 0.500)
N (0.500, 0.000, 0.500)

---

[8]
This record from Alexandria via LeMat-Bulk describes a PBEsol-optimized structure of Be4ReBr. The functional is meta-GGA SCAN.

Values from the calculation:
ΔE_f (raw), meV per atom: 509
Volume, Å³/atom: 10.63
Total energy, Ry per atom: -1.2852
Spin magnetization, μB/atom: 0.0000
Crystal system: cubic

abc: 4.484 4.484 4.484
angles: 60.00 60.00 60.00
Atoms (fractional coordinates):
Be (0.121, 0.121, 0.121)
Be (0.121, 0.121, 0.636)
Be (0.121, 0.636, 0.121)
Be (0.636, 0.121, 0.121)
Re (0.750, 0.750, 0.750)
Br (0.500, 0.500, 0.500)

---

[9]
This record from Alexandria via LeMat-Bulk describes a PBEsol-optimized structure of In2NiCl. The functional is meta-GGA SCAN.

Values from the calculation:
ΔE_f (raw), meV per atom: -124
Volume, Å³/atom: 19.98
Total energy, Ry per atom: -1.6798
Spin magnetization, μB/atom: 0.0549
Distance to the lowest polymorph of the same formula, eV/atom: 0.000
Crystal system: orthorhombic

abc: 4.684 5.457 3.127
angles: 90.00 90.00 90.00
Atoms (fractional coordinates):
In (0.000, 0.000, 0.000)
In (0.500, 0.500, 0.477)
Ni (0.500, 0.000, 0.496)
Cl (0.000, 0.500, 0.978)

---

[10]
This record from Alexandria via LeMat-Bulk describes a PBEsol-optimized structure of LaAlCl2. The functional is meta-GGA SCAN.

Values from the calculation:
ΔE_f (raw), meV per atom: -1234
Volume, Å³/atom: 25.43
Total energy, Ry per atom: -1.3184
Spin magnetization, μB/atom: 0.0000
Distance to the lowest polymorph of the same formula, eV/atom: 0.000
Crystal system: trigonal

abc: 9.773 9.773 9.773
angles: 20.66 20.66 20.66
Atoms (fractional coordinates):
La (0.000, 0.000, 0.000)
Al (0.500, 0.500, 0.500)
Cl (0.405, 0.405, 0.405)
Cl (0.595, 0.595, 0.595)

---

[11]
This record from Alexandria via LeMat-Bulk describes a PBEsol-optimized structure of Ta4Ir5. The functional is meta-GGA SCAN.

Values from the calculation:
E_form, eV/f.u.: -6.38
Volume, Å³/atom: 15.54
Total energy, Ry per atom: -5.1303
Spin magnetization, μB/atom: 0.0000
Crystal system: tetragonal

abc: 6.295 6.295 6.295
angles: 95.53 95.53 143.84
Atoms (fractional coordinates):
Ta (0.000, 0.315, 0.315)
Ta (0.000, 0.685, 0.685)
Ta (0.315, 0.000, 0.315)
Ta (0.685, 0.000, 0.685)
Ir (0.000, 0.000, 0.000)
Ir (0.335, 0.335, 0.671)
Ir (0.335, 0.665, 0.000)
Ir (0.665, 0.335, 0.000)
Ir (0.665, 0.665, 0.329)

---

[12]
This record from Alexandria via LeMat-Bulk describes a PBEsol-optimized structure of ZrCr2Cl. The functional is meta-GGA SCAN.

Values from the calculation:
ΔE_f (raw), meV per atom: 157
Volume, Å³/atom: 15.37
Total energy, Ry per atom: -1.3747
Spin magnetization, μB/atom: 0.0814
Crystal system: monoclinic

abc: 4.773 4.773 5.083
angles: 113.40 113.40 35.74
Atoms (fractional coordinates):
Zr (0.000, 0.000, 0.000)
Cr (0.152, 0.152, 0.629)
Cr (0.456, 0.456, 0.482)
Cl (0.752, 0.752, 0.089)

---

> What is the formula in the fifth record?

SrCa4Mo

---

> Which of these has the highest total energy?

SrCa4Mo